# 1
AlFe3Se (PBE, optimized geometry); polymorph energy (0 for the lowest one) = 0 meV per atom; spin magnetization = 6.3 μB/cell; space group = No. 221
1.0
4.3591 0.0000 0.0000
0.0000 4.3591 0.0000
0.0000 0.0000 4.3591
Al Fe Se
1 3 1
Direct
0.0000 0.0000 0.0000
0.0000 0.5000 0.5000
0.5000 0.0000 0.5000
0.5000 0.5000 0.0000
0.5000 0.5000 0.5000

# 2
AlFe2Se (PBE, optimized geometry); polymorph energy (0 for the lowest one) = 63 meV per atom; spin magnetization = 0.0 μB/cell; space group = No. 123
1.0
2.9385 0.0000 0.0000
0.0000 2.9385 0.0000
0.0000 0.0000 5.7547
Al Fe Se
1 2 1
Direct
0.0000 0.0000 0.0000
0.5000 0.5000 0.2540
0.5000 0.5000 0.7460
0.0000 0.0000 0.5000

# 3
AlFe2Se (PBE, optimized geometry); polymorph energy (0 for the lowest one) = 146 meV per atom; spin magnetization = 11.4 μB/cell; space group = No. 166
1.0
2.8866 0.0000 0.0000
-1.4433 2.4998 0.0000
0.0000 0.0000 22.9759
Al Fe Se
3 6 3
Direct
0.0000 0.0000 0.0000
0.3333 0.6667 0.6667
0.6667 0.3333 0.3333
0.0000 0.0000 0.2467
0.0000 0.0000 0.7533
0.3333 0.6667 0.4199
0.3333 0.6667 0.9134
0.6667 0.3333 0.0866
0.6667 0.3333 0.5801
0.0000 0.0000 0.5000
0.3333 0.6667 0.1667
0.6667 0.3333 0.8333

# 4
Al2FeSe (PBE, optimized geometry); energy = -4.960 eV/atom; spin magnetization = 0.0 μB/cell; space group = No. 44
1.0
2.7993 0.0000 0.0000
0.0000 4.0856 0.0000
0.0000 0.0000 11.4742
Al Fe Se
4 2 2
Direct
0.0000 0.0000 0.0000
0.0000 0.5000 0.1684
0.5000 0.0000 0.6684
0.5000 0.5000 0.5000
0.0000 0.5000 0.6775
0.5000 0.0000 0.1775
0.0000 0.0000 0.3479
0.5000 0.5000 0.8479

# 5
AlFeSe (PBE, optimized geometry); polymorph energy (0 for the lowest one) = 457 meV per atom; spin magnetization = 10.2 μB/cell; space group = No. 216
1.0
6.0361 0.0000 0.0000
0.0000 6.0361 0.0000
0.0000 0.0000 6.0361
Al Fe Se
4 4 4
Direct
0.0000 0.0000 0.0000
0.0000 0.5000 0.5000
0.5000 0.0000 0.5000
0.5000 0.5000 0.0000
0.0000 0.0000 0.5000
0.0000 0.5000 0.0000
0.5000 0.0000 0.0000
0.5000 0.5000 0.5000
0.2500 0.2500 0.2500
0.2500 0.7500 0.7500
0.7500 0.2500 0.7500
0.7500 0.7500 0.2500

# 6
Al2FeSe (PBE, optimized geometry); energy = -4.658 eV/atom; spin magnetization = 2.3 μB/cell; space group = No. 10
1.0
3.0149 0.0000 0.0000
0.0000 5.0185 0.0000
-0.0794 0.0000 4.3262
Al Fe Se
2 1 1
Direct
0.2500 0.0000 0.2469
0.7500 0.0000 0.7531
0.0000 0.5000 0.0000
0.5000 0.5000 0.5000

# 7
Al2FeSe (PBE, optimized geometry); energy = -4.816 eV/atom; spin magnetization = 2.1 μB/cell; space group = No. 99
1.0
3.4305 0.0000 0.0000
0.0000 3.4305 0.0000
0.0000 0.0000 5.6332
Al Fe Se
2 1 1
Direct
0.0000 0.0000 0.0000
0.5000 0.5000 0.3017
0.0000 0.0000 0.4292
0.5000 0.5000 0.8029

# 8
AlFe4Se (PBE, optimized geometry); energy = -6.623 eV/atom; spin magnetization = 7.9 μB/cell; space group = No. 216
1.0
0.0000 3.4163 3.4163
3.4163 0.0000 3.4163
3.4163 3.4163 0.0000
Al Fe Se
1 4 1
Direct
0.0000 0.0000 0.0000
0.3744 0.3744 0.3744
0.3744 0.3744 0.8767
0.3744 0.8767 0.3744
0.8767 0.3744 0.3744
0.7500 0.7500 0.7500